A plane-wave DFT calculation with PBE was carried out for TlGaBr2 after structural relaxation.

Calculated values
ΔE to the lowest computed polymorph = 67 meV/atom
space-group type = Fm-3m (225)
DOS(E_F) = 0.0 states/eV/f.u.

```
TlGaBr2
1.0
0.000 3.936 3.936
3.936 0.000 3.936
3.936 3.936 0.000
Tl Ga Br
1 1 2
direct
0.000 0.000 0.000 Tl
0.500 0.500 0.500 Ga
0.250 0.250 0.250 Br
0.750 0.750 0.750 Br
```



A plane-wave DFT calculation with PBE was carried out for Na2AlC after structural relaxation.

Calculated values
energy of formation from the pure elements = 1348 meV per atom
ΔE to the lowest computed polymorph = 105 meV/atom
space-group type = Fm-3m (225)
DOS(E_F) = 2.0 states/eV/f.u.

```
Na2AlC
1.0
0.000 3.279 3.279
3.279 0.000 3.279
3.279 3.279 0.000
Na Al C
2 1 1
direct
0.250 0.250 0.250 Na
0.750 0.750 0.750 Na
0.000 0.000 0.000 Al
0.500 0.500 0.500 C
```



A plane-wave DFT calculation with PBE was carried out for Ca4BiSe2 after structural relaxation.

Calculated values
ΔE to the lowest computed polymorph = 495 meV/atom
space-group type = I4/mmm (139)
DOS(E_F) = 2.5 states/eV/f.u.

```
Ca4BiSe2
1.0
-2.929 2.929 7.669
2.929 -2.929 7.669
2.929 2.929 -7.669
Ca Bi Se
4 1 2
direct
0.000 0.500 0.500 Ca
0.202 0.202 0.000 Ca
0.500 0.000 0.500 Ca
0.798 0.798 0.000 Ca
0.000 0.000 0.000 Bi
0.380 0.380 0.000 Se
0.620 0.620 0.000 Se
```



A plane-wave DFT calculation with PBE was carried out for TbZn2In after structural relaxation.

Calculated values
energy of formation from the pure elements = -183 meV per atom
space-group type = Cmmm (65)
DOS(E_F) = 1.6 states/eV/f.u.

```
TbZn2In
1.0
2.833 -4.874 0.000
2.833 4.874 0.000
0.000 0.000 3.217
Tb Zn In
1 2 1
direct
0.000 0.000 0.000 Tb
0.000 0.500 0.500 Zn
0.500 0.000 0.500 Zn
0.500 0.500 0.500 In
```



A plane-wave DFT calculation with PBE was carried out for Ce2NdRu after structural relaxation.

Calculated values
energy of formation from the pure elements = -86 meV per atom
ΔE to the lowest computed polymorph = 123 meV/atom
space-group type = R3m (160)
DOS(E_F) = 9.0 states/eV/f.u.

```
Ce2NdRu
1.0
1.942 1.121 8.920
-1.942 1.121 8.920
0.000 -2.242 8.920
Ce Nd Ru
2 1 1
direct
0.000 0.000 0.000 Ce
0.214 0.214 0.214 Ce
0.441 0.441 0.441 Nd
0.606 0.606 0.606 Ru
```



A plane-wave DFT calculation with PBE was carried out for SbPd6 after structural relaxation.

Calculated values
space-group type = Im-3m (229)
DOS(E_F) = 16.7 states/eV/f.u.
raw total energy = -4.0369 eV per atom

```
SbPd6
1.0
-3.503 3.503 3.503
3.503 -3.503 3.503
3.503 3.503 -3.503
Sb Pd
1 6
direct
0.000 0.000 0.000 Sb
0.250 0.500 0.750 Pd
0.250 0.750 0.500 Pd
0.500 0.250 0.750 Pd
0.500 0.750 0.250 Pd
0.750 0.250 0.500 Pd
0.750 0.500 0.250 Pd
```



A plane-wave DFT calculation with PBE was carried out for AsPS2F after structural relaxation.

Calculated values
ΔE to the lowest computed polymorph = 0 meV/atom
space-group type = P4/mmm (123)
DOS(E_F) = 4.5 states/eV/f.u.

```
AsPS2F
1.0
4.639 0.000 0.000
0.000 4.639 0.000
0.000 0.000 4.925
As P S F
1 1 2 1
direct
0.000 0.000 0.000 As
0.000 0.000 0.500 P
0.000 0.500 0.000 S
0.500 0.000 0.000 S
0.500 0.500 0.500 F
```



A plane-wave DFT calculation with PBE was carried out for K2FeW after structural relaxation.

Calculated values
energy of formation from the pure elements = 1669 meV per atom
ΔE to the lowest computed polymorph = 768 meV/atom
space-group type = I4/mmm (139)
DOS(E_F) = 5.0 states/eV/f.u.

```
K2FeW
1.0
-1.885 1.885 5.931
1.885 -1.885 5.931
1.885 1.885 -5.931
K Fe W
2 1 1
direct
0.250 0.750 0.500 K
0.750 0.250 0.500 K
0.000 0.000 0.000 Fe
0.500 0.500 0.000 W
```



A plane-wave DFT calculation with PBE was carried out for BeAl2Se after structural relaxation.

Calculated values
ΔE to the lowest computed polymorph = 233 meV/atom
space-group type = P2/m (10)
DOS(E_F) = 1.2 states/eV/f.u.

```
BeAl2Se
1.0
4.343 0.000 0.000
0.000 3.306 0.000
-1.364 0.000 4.574
Be Al Se
1 2 1
direct
0.000 0.000 0.000 Be
0.500 0.000 0.500 Al
0.500 0.500 0.000 Al
0.000 0.500 0.500 Se
```



A plane-wave DFT calculation with PBE was carried out for NdZrNp2N4 after structural relaxation.

Calculated values
space-group type = P2/m (10)
DOS(E_F) = 11.5 states/eV/f.u.
raw total energy = -10.3758 eV per atom

```
NdZrNp2N4
1.0
5.938 0.000 0.000
0.000 3.427 0.000
-1.982 0.000 5.664
Nd Zr Np N
1 1 2 4
direct
0.000 0.000 0.000 Nd
0.000 0.500 0.500 Zr
0.500 0.000 0.500 Np
0.500 0.500 0.000 Np
0.253 0.000 0.731 N
0.267 0.500 0.279 N
0.733 0.500 0.721 N
0.747 0.000 0.269 N
```



A plane-wave DFT calculation with PBE was carried out for NaCa2Cr after structural relaxation.

Calculated values
energy of formation from the pure elements = 396 meV per atom
ΔE to the lowest computed polymorph = 0 meV/atom
space-group type = Fm-3m (225)
DOS(E_F) = 3.4 states/eV/f.u.

```
NaCa2Cr
1.0
0.000 3.980 3.980
3.980 0.000 3.980
3.980 3.980 0.000
Na Ca Cr
1 2 1
direct
0.000 0.000 0.000 Na
0.250 0.250 0.250 Ca
0.750 0.750 0.750 Ca
0.500 0.500 0.500 Cr
```



A plane-wave DFT calculation with PBE was carried out for BaTh2Te4 after structural relaxation.

Calculated values
ΔE to the lowest computed polymorph = 0 meV/atom
space-group type = Cmcm (63)
DOS(E_F) = 4.2 states/eV/f.u.

```
BaTh2Te4
1.0
2.307 -7.326 0.000
2.307 7.326 0.000
0.000 0.000 15.589
Ba Th Te
2 4 8
direct
0.110 0.890 0.750 Ba
0.890 0.110 0.250 Ba
0.371 0.629 0.559 Th
0.371 0.629 0.941 Th
0.629 0.371 0.059 Th
0.629 0.371 0.441 Th
0.000 0.000 0.000 Te
0.000 0.000 0.500 Te
0.267 0.733 0.120 Te
0.267 0.733 0.380 Te
0.433 0.567 0.750 Te
0.567 0.433 0.250 Te
0.733 0.267 0.620 Te
0.733 0.267 0.880 Te
```



A plane-wave DFT calculation with PBE was carried out for Pr2P3PtRh4 after structural relaxation.

Calculated values
energy of formation from the pure elements = -914 meV per atom
space-group type = P-4m2 (115)
DOS(E_F) = 5.8 states/eV/f.u.

```
Pr2P3PtRh4
1.0
4.149 0.000 0.000
0.000 4.149 0.000
0.000 0.000 10.165
Pr P Pt Rh
2 3 1 4
direct
0.000 0.500 0.241 Pr
0.500 0.000 0.759 Pr
0.000 0.000 0.000 P
0.000 0.500 0.627 P
0.500 0.000 0.373 P
0.500 0.500 0.000 Pt
0.000 0.000 0.500 Rh
0.000 0.500 0.849 Rh
0.500 0.000 0.151 Rh
0.500 0.500 0.500 Rh
```



A plane-wave DFT calculation with PBE was carried out for K3Dy2NpSe6 after structural relaxation.

Calculated values
space-group type = C2/m (12)
DOS(E_F) = 6.6 states/eV/f.u.
raw total energy = -5.4459 eV per atom

```
K3Dy2NpSe6
1.0
3.677 -6.358 0.000
3.677 6.358 0.000
-2.441 0.000 7.680
K Dy Np Se
3 2 1 6
direct
0.000 0.000 0.000 K
0.333 0.667 0.000 K
0.667 0.333 0.000 K
0.166 0.834 0.500 Dy
0.834 0.166 0.500 Dy
0.500 0.500 0.500 Np
0.094 0.431 0.294 Se
0.231 0.231 0.706 Se
0.431 0.094 0.294 Se
0.569 0.906 0.706 Se
0.769 0.769 0.294 Se
0.906 0.569 0.706 Se
```